Version w
4
Lattice="2.6618 0.0000 0.0000 1.3309 2.3052 0.0000 1.3309 0.7684 8.5219" Properties=species:S:1:pos:R:3 comment="CoReRu2 SCAN single point on PBEsol structure" spacegroup="R-3m, No. 166" pbc="T T T"
Re 0.0000 0.0000 0.0000
Ru 1.3309 0.7684 2.2021
Ru 3.9927 2.3052 6.3198
Co 2.6618 1.5368 4.2610

=====

Version x
4
Lattice="-1.3349 0.0461 -2.3009 -3.2278 -2.6182 1.8202 -1.0537 4.3576 0.6986" Properties=species:S:1:pos:R:3 comment="CoReRu2 SCAN single point on PBEsol structure" spacegroup="Cmmm, No. 65" pbc="T T T"
Ru -1.6139 -1.3091 0.9101
Ru -0.5268 2.1788 0.3493
Re -2.8082 0.8927 0.1090
Co -0.6675 0.0230 -1.1505

=====

Energy above the most stable structure, in kJ/mol of atoms: version w 0.0; version x 6.4

=====

Version w
3
Lattice="2.6064 -0.0944 0.0000 -1.0313 2.3955 0.0000 -0.7876 -1.1505 6.4495" Properties=species:S:1:pos:R:3 comment="CoReRu SCAN single point on PBEsol structure" spacegroup="Fmm2, No. 42" pbc="T T T"
Co 0.0000 0.0000 0.0097
Re 0.7876 1.1505 2.1043
Ru 0.0000 0.0000 4.3355

=====

Version x
3
Lattice="-1.8201 -1.0291 -1.6172 1.7087 0.1397 -2.0120 1.8449 -4.5612 2.9865" Properties=species:S:1:pos:R:3 comment="CoReRu SCAN single point on PBEsol structure" spacegroup="I4mm, No. 107" pbc="T T T"
Ru 1.2081 -3.3801 0.7913
Co 0.0053 -0.0149 0.0035
Re 0.5201 -2.0556 -1.4375

=====

Energy above the most stable structure, in kJ/mol of atoms: version w 11.4; version x 0.0

=====

Version w
5
Lattice="-0.7240 -3.9890 -2.1342 4.3590 -0.0365 -1.4104 1.2109 -2.2534 3.8009" Properties=species:S:1:pos:R:3 comment="Sc3CoRe SCAN single point on PBEsol structure" spacegroup="Pm-3m, No. 221" pbc="T T T"
Re 2.4229 -3.1394 0.1281
Co 0.0000 0.0000 0.0000
Sc 2.1795 -0.0183 -0.7052
Sc 0.6055 -1.1267 1.9004
Sc -0.3620 -1.9945 -1.0671

=====

Version x
5
Lattice="-4.5192 0.7438 1.7953 -1.6115 -3.9741 -2.4102 1.0859 -2.8023 3.8945" Properties=species:S:1:pos:R:3 comment="Sc3CoRe SCAN single point on PBEsol structure" spacegroup="Pm-3m, No. 221" pbc="T T T"
Sc -2.2596 0.3719 0.8976
Sc -0.8058 -1.9870 -1.2051
Sc 0.5430 -1.4011 1.9473
Co -2.5224 -3.0163 1.6398
Re 0.0000 0.0000 0.0000

=====

Energy above the most stable structure, in kJ/mol of atoms: version w 0.0; version x 3.5

=====

Version w
4
Lattice="-1.8803 0.6401 -1.7337 3.2102 -0.5687 -3.6915 -2.0539 -5.2227 2.3039" Properties=species:S:1:pos:R:3 comment="SrCoRe2 SCAN single point on PBEsol structure" spacegroup="Imm2, No. 44" pbc="T T T"
Re 0.3207 -5.0810 -2.2238
Re 0.5245 -0.4890 -2.7540
Co 0.9362 -2.7822 -2.0426
Sr -0.6841 -2.5547 -0.2013

=====

Version x
4
Lattice="-1.1894 2.6739 0.9990 0.7107 -0.7708 2.9092 6.6130 3.2259 -0.7608" Properties=species:S:1:pos:R:3 comment="SrCoRe2 SCAN single point on PBEsol structure" spacegroup="P4/mmm, No. 123" pbc="T T T"
Re 4.3838 2.1385 -0.5043
Re 2.2292 1.0875 -0.2565
Co 3.0671 2.5645 1.5737
Sr -0.2394 0.9515 1.9541

=====

Energy above the most stable structure, in kJ/mol of atoms: version w 22.5; version x 0.0

=====

Version w
4
Lattice="-3.5741 -0.2969 -1.0917 0.0343 -3.6443 0.8787 0.4494 2.9371 4.1665" Properties=species:S:1:pos:R:3 comment="SrCo2Re SCAN single point on PBEsol structure" spacegroup="I-4m2, No. 119" pbc="T T T"
Co 0.0000 0.0000 0.0000
Co -2.4473 0.3348 1.4841
Sr -0.6430 -1.3389 2.4693
Re -1.7699 -1.9706 -0.1065

=====

Version x
4
Lattice="2.8387 0.0000 0.0000 0.0000 3.0776 0.0000 0.0000 0.0000 7.3668" Properties=species:S:1:pos:R:3 comment="SrCo2Re SCAN single point on PBEsol structure" spacegroup="Pmm2, No. 25" pbc="T T T"
Co 0.0000 0.0000 0.6268
Co 1.4193 1.5388 1.7037
Sr 1.4193 1.5388 5.6176
Re 0.0000 0.0000 3.1025

=====

Energy above the most stable structure, in kJ/mol of atoms: version w 63.0; version x 0.0

=====

Version w
4
Lattice="-0.7647 -1.2036 -2.4451 -1.3576 -2.9885 1.8957 -5.1236 2.5482 0.3480" Properties=species:S:1:pos:R:3 comment="TlCoRe2 SCAN single point on PBEsol structure" spacegroup="Pmm2, No. 25" pbc="T T T"
Co -5.0175 -0.1284 -0.0060
Re -2.1011 -1.5788 -0.2041
Re -0.0327 0.0163 0.0022
Tl -2.6564 1.3211 0.1804

=====

Version x
4
Lattice="3.6954 0.0000 0.0000 0.0000 3.6954 0.0000 0.0000 0.0000 4.3972" Properties=species:S:1:pos:R:3 comment="TlCoRe2 SCAN single point on PBEsol structure" spacegroup="P4/mmm, No. 123" pbc="T T T"
Re 0.0000 1.8477 0.0000
Re 1.8477 0.0000 0.0000
Tl 1.8477 1.8477 2.1986
Co 0.0000 0.0000 2.1986

=====

Energy above the most stable structure, in kJ/mol of atoms: version w 0.0; version x 31.3

=====

Version w
4
Lattice="2.8425 0.0000 0.0000 0.0000 2.8425 0.0000 0.0000 0.0000 7.4786" Properties=species:S:1:pos:R:3 comment="TlCoRe2 SCAN single point on PBEsol structure" spacegroup="P4mm, No. 99" pbc="T T T"
Tl 0.0000 0.0000 3.8714
Re 0.0000 0.0000 7.3966
Re 1.4213 1.4213 1.6321
Co 1.4213 1.4213 5.7965

=====

Version x
4
Lattice="2.7393 0.0000 0.0000 0.0000 4.3580 0.0000 -1.3697 -2.1790 5.1320" Properties=species:S:1:pos:R:3 comment="TlCoRe2 SCAN single point on PBEsol structure" spacegroup="Immm, No. 71" pbc="T T T"
Co 1.3697 0.0000 0.0000
Re 1.3697 2.1790 2.9916
Re 0.0000 0.0000 2.1404
Tl 0.0000 2.1790 0.0000

=====

Energy above the most stable structure, in kJ/mol of atoms: version w 0.0; version x 11.3